Record 1
8
Lattice="-2.0672 -2.3140 -0.4535 4.0388 -4.8543 6.3583 -2.8089 1.8785 3.2184" Properties=species:S:1:pos:R:3 comment="NaPAuO | OQMD | PBE | optimized geometry" crystal_system=orthorhombic polymorph_energy_mev_per_atom=164 pbc="T T T"
Au -0.4989 -0.0535 2.5473
Au 0.6828 -2.2227 8.2279
O -1.0937 -2.4939 6.8678
O -0.8163 -2.0785 3.4843
P -2.2933 1.3551 3.5391
P 2.4797 -3.6330 7.2332
Na 0.1984 -3.2983 5.0828
Na -2.1092 -1.2735 5.2702

Record 2
8
Lattice="-2.4441 2.1763 -2.5274 0.7339 -2.7056 -3.0395 -7.5711 -5.2246 2.8226" Properties=species:S:1:pos:R:3 comment="NaPAuO | OQMD | PBE | optimized geometry" crystal_system=tetragonal polymorph_energy_mev_per_atom=392 pbc="T T T"
P 0.0686 -1.5587 -1.4085
P -8.4948 -3.9306 1.4477
O -0.8551 -0.2646 -2.7834
O 0.0000 0.0000 0.0000
Na -4.6406 -2.8770 -1.3722
Na -3.7855 -2.6123 1.4113
Au -1.7895 -2.8409 -0.7158
Au -6.6366 -2.6483 0.7549

Please write out number 2 again, unchanged.
8
Lattice="-2.4441 2.1763 -2.5274 0.7339 -2.7056 -3.0395 -7.5711 -5.2246 2.8226" Properties=species:S:1:pos:R:3 comment="NaPAuO | OQMD | PBE | optimized geometry" crystal_system=tetragonal polymorph_energy_mev_per_atom=392 pbc="T T T"
P 0.0686 -1.5587 -1.4085
P -8.4948 -3.9306 1.4477
O -0.8551 -0.2646 -2.7834
O 0.0000 0.0000 0.0000
Na -4.6406 -2.8770 -1.3722
Na -3.7855 -2.6123 1.4113
Au -1.7895 -2.8409 -0.7158
Au -6.6366 -2.6483 0.7549